# Tl5AsSe4Br2

Crystalline Tl5AsSe4Br2 at its relaxed geometry (GGA-PBE, the Alexandria database).

Cell: 10.1197 10.0810 8.3360 Å, 90.00 90.00 90.00°
Space group Amm2 (No. 38)
Symmetry-distinct sites (fractional):
Tl 0.0000 0.0000 0.0000
Tl 0.2604 0.1904 0.4697
As 0.5000 0.0000 0.9087
Se 0.3084 0.0000 0.0732
Se 0.5000 0.1943 0.7520
Br 0.0000 0.2248 0.7325

- calculated density (g/cm³) = 6.1
- size of the total moment (μB/f.u.) = 0.00
- formation energy (no corrections) (eV per formula unit) = -5.5